Compound: MnRe4
Source: the Alexandria database
Functional: SCAN
Structure: single point on PBEsol structure Values from VASP.

The structure in Quantum ESPRESSO input format:
```
&SYSTEM
  ibrav = 0, nat = 5, ntyp = 2
/
ATOMIC_SPECIES
Mn 54.94 Mn.upf
Re 186.21 Re.upf
ATOMIC_POSITIONS crystal
Mn 0.000 0.000 0.000
Re 0.250 0.750 0.500
Re 0.385 0.385 0.000
Re 0.615 0.615 0.000
Re 0.750 0.250 0.500
CELL_PARAMETERS angstrom
-2.035 2.035 5.353
2.035 -2.035 5.353
2.035 2.035 -5.353
```

Properties
The density of states at the Fermi level comes out at 3.60 states/eV per cell. As for the volume: 89 Å³ per cell. Its magnetization is 4.1 μB/f.u. As for the total energy: -60.100 eV/atom. For the calculated formation energy, the calculation gives 2.14 eV per formula unit.